# 1
A relaxed GdZrZnAg crystal. Source: Alexandria via LeMat-Bulk, functional PBE.

Cell and atoms, written as extended XYZ:
```
4
Lattice="0.000 3.524 3.524 3.524 0.000 3.524 3.524 3.524 0.000" Properties=species:S:1:pos:R:3 pbc="T T T"
Gd 0.000 0.000 0.000
Zr 3.524 3.524 3.524
Zn 1.762 1.762 1.762
Ag 5.286 5.286 5.286
```

As for the space-group type: F-43m.

***

# 2
A relaxed GdZrAg2 crystal. Source: Alexandria via LeMat-Bulk, functional PBE.

Cell and atoms, written as extended XYZ:
```
4
Lattice="3.540 0.000 0.000 0.000 3.540 0.000 0.000 0.000 7.181" Properties=species:S:1:pos:R:3 pbc="T T T"
Gd 0.000 0.000 0.000
Zr 0.000 0.000 3.590
Ag 1.770 1.770 1.968
Ag 1.770 1.770 5.213
```

As for the space-group type: P4/mmm. As for the excess energy over the best structure of this formula in the dataset: 0.000 eV/atom.

***

# 3
A relaxed GdZrAg2 crystal. Source: Alexandria via LeMat-Bulk, functional PBE.

Cell and atoms, written as extended XYZ:
```
4
Lattice="0.000 3.564 3.564 3.564 0.000 3.564 3.564 3.564 0.000" Properties=species:S:1:pos:R:3 pbc="T T T"
Gd 0.000 0.000 0.000
Zr 3.564 3.564 3.564
Ag 1.782 1.782 1.782
Ag 5.345 5.345 5.345
```

As for the space-group type: Fm-3m. As for the excess energy over the best structure of this formula in the dataset: 0.034 eV/atom.

***

# 4
A relaxed AgGe crystal. Source: Alexandria via LeMat-Bulk, functional PBE.

Cell and atoms, written as extended XYZ:
```
4
Lattice="1.440 -4.643 0.000 1.440 4.643 0.000 0.000 0.000 5.580" Properties=species:S:1:pos:R:3 pbc="T T T"
Ag 1.440 2.465 4.185
Ag 1.440 -2.465 1.395
Ge 1.440 0.000 0.000
Ge 1.440 0.000 2.790
```

As for the space-group type: Cmcm. As for the excess energy over the best structure of this formula in the dataset: 0.014 eV/atom.

***

# 5
A relaxed AgGe crystal. Source: Alexandria via LeMat-Bulk, functional PBE.

Cell and atoms, written as extended XYZ:
```
16
Lattice="9.529 0.000 0.000 0.000 9.529 0.000 0.000 0.000 3.800" Properties=species:S:1:pos:R:3 pbc="T T T"
Ag 0.971 1.799 0.000
Ag 1.799 8.558 0.000
Ag 3.172 5.920 1.900
Ag 3.609 3.172 1.900
Ag 5.920 6.357 1.900
Ag 6.357 3.609 1.900
Ag 7.731 0.971 0.000
Ag 8.558 7.731 0.000
Ge 1.100 5.972 0.000
Ge 1.130 4.027 1.900
Ge 3.557 1.100 0.000
Ge 4.027 8.400 1.900
Ge 5.502 1.130 1.900
Ge 5.972 8.429 0.000
Ge 8.400 5.502 1.900
Ge 8.429 3.557 0.000
```

As for the space-group type: P4/m. As for the excess energy over the best structure of this formula in the dataset: 0.129 eV/atom.

***

# 6
A relaxed Ag3Ge crystal. Source: Alexandria via LeMat-Bulk, functional PBE.

Cell and atoms, written as extended XYZ:
```
4
Lattice="-2.065 2.065 4.204 2.065 -2.065 4.204 2.065 2.065 -4.204" Properties=species:S:1:pos:R:3 pbc="T T T"
Ag 0.000 0.000 0.000
Ag 2.065 0.000 2.102
Ag 0.000 2.065 2.102
Ge 0.000 0.000 4.204
```

As for the space-group type: I4/mmm.

***

# 7
A relaxed AgGe2 crystal. Source: Alexandria via LeMat-Bulk, functional PBE.

Cell and atoms, written as extended XYZ:
```
6
Lattice="0.000 3.927 3.927 3.927 0.000 3.927 3.927 3.927 0.000" Properties=species:S:1:pos:R:3 pbc="T T T"
Ag 0.982 0.982 0.982
Ag 6.872 6.872 6.872
Ge 3.927 1.963 1.963
Ge 1.963 3.927 1.963
Ge 1.963 1.963 3.927
Ge 3.927 3.927 3.927
```

As for the space-group type: Fd-3m.

***

# 8
A relaxed AgGe crystal. Source: Alexandria via LeMat-Bulk, functional PBE.

Cell and atoms, written as extended XYZ:
```
4
Lattice="3.111 0.000 0.000 -0.001 4.680 0.000 -0.017 -2.016 5.074" Properties=species:S:1:pos:R:3 pbc="T T T"
Ag 0.712 -0.496 1.281
Ag 2.381 3.159 3.793
Ge 0.863 0.823 3.824
Ge 2.230 1.841 1.250
```

As for the space-group type: P-1. As for the excess energy over the best structure of this formula in the dataset: 0.012 eV/atom.

***

# 9
A relaxed AgGe crystal. Source: Alexandria via LeMat-Bulk, functional PBE.

Cell and atoms, written as extended XYZ:
```
8
Lattice="0.000 4.056 8.075 3.669 0.000 8.075 3.669 4.056 0.000" Properties=species:S:1:pos:R:3 pbc="T T T"
Ag 2.751 3.042 0.431
Ag 4.586 5.070 4.469
Ag 2.751 3.042 11.681
Ag 4.586 5.070 15.718
Ge 2.751 0.241 6.056
Ge 4.586 2.269 10.093
Ge 2.751 5.842 6.056
Ge 4.586 7.870 10.093
```

As for the space-group type: Fddd. As for the excess energy over the best structure of this formula in the dataset: 0.291 eV/atom.

***

# 10
A relaxed Ag3Ge crystal. Source: Alexandria via LeMat-Bulk, functional PBE.

Cell and atoms, written as extended XYZ:
```
4
Lattice="2.963 0.000 0.000 -1.481 2.566 0.000 0.000 0.000 9.524" Properties=species:S:1:pos:R:3 pbc="T T T"
Ag 0.000 0.000 0.000
Ag 0.000 1.711 2.381
Ag 0.000 1.711 7.143
Ge 0.000 0.000 4.762
```

As for the space-group type: P-6m2.

***

# 11
A relaxed AgGe crystal. Source: Alexandria via LeMat-Bulk, functional PBE.

Cell and atoms, written as extended XYZ:
```
2
Lattice="0.000 2.734 2.734 2.734 0.000 2.734 2.734 2.734 0.000" Properties=species:S:1:pos:R:3 pbc="T T T"
Ag 0.000 0.000 0.000
Ge 2.734 2.734 2.734
```

As for the space-group type: Fm-3m. As for the excess energy over the best structure of this formula in the dataset: 0.196 eV/atom.

***

# 12
A relaxed Ag3Ge crystal. Source: Alexandria via LeMat-Bulk, functional PBE.

Cell and atoms, written as extended XYZ:
```
4
Lattice="2.955 0.000 0.000 0.000 4.824 0.000 0.000 0.000 5.069" Properties=species:S:1:pos:R:3 pbc="T T T"
Ag 0.000 0.000 0.000
Ag 0.000 2.412 1.659
Ag 1.477 0.000 2.541
Ge 1.477 2.412 4.193
```

As for the space-group type: Pmm2.

***

# 13
A relaxed Ag3Ge crystal. Source: Alexandria via LeMat-Bulk, functional PBE.

Cell and atoms, written as extended XYZ:
```
4
Lattice="-1.506 4.731 2.523 1.506 -4.731 2.523 1.506 4.731 -2.523" Properties=species:S:1:pos:R:3 pbc="T T T"
Ag 0.000 0.000 0.000
Ag 1.506 2.383 0.800
Ag 0.000 2.348 3.322
Ge 1.506 0.000 2.513
```

As for the space-group type: Imm2.

***

# 14
A relaxed AgGe crystal. Source: Alexandria via LeMat-Bulk, functional PBE.

Cell and atoms, written as extended XYZ:
```
2
Lattice="0.000 2.948 2.948 2.948 0.000 2.948 2.948 2.948 0.000" Properties=species:S:1:pos:R:3 pbc="T T T"
Ag 0.000 0.000 0.000
Ge 1.474 1.474 1.474
```

As for the space-group type: F-43m. As for the excess energy over the best structure of this formula in the dataset: 0.434 eV/atom.

***

# 15
A relaxed Ag5Ge crystal. Source: Alexandria via LeMat-Bulk, functional PBE.

Cell and atoms, written as extended XYZ:
```
6
Lattice="2.130 -6.427 0.000 2.130 6.427 0.000 0.000 0.000 3.922" Properties=species:S:1:pos:R:3 pbc="T T T"
Ag 0.000 0.000 0.000
Ag 2.130 4.279 1.961
Ag 2.130 2.132 0.000
Ag 2.130 -2.132 0.000
Ag 2.130 -4.279 1.961
Ge 2.130 0.000 1.961
```

As for the space-group type: Cmmm.

***

# 16
A relaxed AgGe crystal. Source: Alexandria via LeMat-Bulk, functional PBE.

Cell and atoms, written as extended XYZ:
```
8
Lattice="-4.341 4.341 2.075 4.341 -4.341 2.075 4.341 4.341 -2.075" Properties=species:S:1:pos:R:3 pbc="T T T"
Ag 2.835 0.000 0.000
Ag 5.847 0.000 0.000
Ag 0.000 2.835 0.000
Ag 0.000 5.847 0.000
Ge 2.906 2.906 0.000
Ge 1.435 -1.435 2.075
Ge -1.435 1.435 2.075
Ge 1.435 1.435 2.075
```

As for the space-group type: I4/mmm. As for the excess energy over the best structure of this formula in the dataset: 0.043 eV/atom.

***

# 17
A relaxed AgGe crystal. Source: Alexandria via LeMat-Bulk, functional PBE.

Cell and atoms, written as extended XYZ:
```
8
Lattice="5.339 0.000 0.000 0.000 5.339 0.000 0.000 0.000 5.668" Properties=species:S:1:pos:R:3 pbc="T T T"
Ag 1.009 1.009 0.000
Ag 1.661 3.679 2.834
Ag 3.679 1.661 2.834
Ag 4.330 4.330 0.000
Ge 0.979 0.979 2.834
Ge 1.691 3.649 0.000
Ge 3.649 1.691 0.000
Ge 4.360 4.360 2.834
```

As for the space-group type: P4_2/mnm. As for the excess energy over the best structure of this formula in the dataset: 0.169 eV/atom.

***

# 18
A relaxed Ag3Ge crystal. Source: Alexandria via LeMat-Bulk, functional PBE.

Cell and atoms, written as extended XYZ:
```
4
Lattice="0.000 3.306 3.306 3.306 0.000 3.306 3.306 3.306 0.000" Properties=species:S:1:pos:R:3 pbc="T T T"
Ag 0.000 0.000 0.000
Ag 1.653 1.653 1.653
Ag 4.958 4.958 4.958
Ge 3.306 3.306 3.306
```

As for the space-group type: Fm-3m.

***

# 19
A relaxed AgGe crystal. Source: Alexandria via LeMat-Bulk, functional PBE.

Cell and atoms, written as extended XYZ:
```
4
Lattice="3.173 0.000 0.000 0.000 4.828 0.000 0.000 0.000 4.838" Properties=species:S:1:pos:R:3 pbc="T T T"
Ag 0.793 1.207 0.384
Ag 2.380 3.621 4.454
Ge 0.793 3.621 2.048
Ge 2.380 1.207 2.791
```

As for the space-group type: Pmmn. As for the excess energy over the best structure of this formula in the dataset: 0.007 eV/atom.

***

# 20
A relaxed AgGe crystal. Source: Alexandria via LeMat-Bulk, functional PBE.

Cell and atoms, written as extended XYZ:
```
6
Lattice="3.772 0.000 0.000 0.000 5.601 2.937 0.000 -5.601 2.937" Properties=species:S:1:pos:R:3 pbc="T T T"
Ag 0.000 0.000 0.000
Ag 0.000 -2.694 2.464
Ag 0.000 2.694 2.464
Ge 0.000 0.000 2.592
Ge 1.886 -1.342 4.145
Ge 1.886 1.342 4.145
```

As for the space-group type: Amm2. As for the excess energy over the best structure of this formula in the dataset: 0.070 eV/atom.

***

# 21
A relaxed AgGe crystal. Source: Alexandria via LeMat-Bulk, functional PBE.

Cell and atoms, written as extended XYZ:
```
12
Lattice="7.565 0.000 0.000 -3.783 6.552 0.000 0.000 0.000 4.751" Properties=species:S:1:pos:R:3 pbc="T T T"
Ag -2.618 5.276 1.188
Ag 0.522 1.646 1.188
Ag 1.687 0.371 3.563
Ag 2.096 6.181 1.188
Ag 3.260 4.905 3.563
Ag 6.401 1.276 3.563
Ge -1.598 4.014 3.563
Ge 1.105 3.161 3.563
Ge 3.290 0.623 1.188
Ge 0.493 5.928 3.563
Ge 2.677 3.391 1.188
Ge 5.380 2.537 1.188
```

As for the space-group type: P6_3/m. As for the excess energy over the best structure of this formula in the dataset: 0.028 eV/atom.

***

# 22
A relaxed AgGe crystal. Source: Alexandria via LeMat-Bulk, functional PBE.

Cell and atoms, written as extended XYZ:
```
12
Lattice="7.268 0.000 0.000 0.000 7.268 0.000 0.000 0.000 7.268" Properties=species:S:1:pos:R:3 pbc="T T T"
Ag 0.000 1.817 3.634
Ag 0.000 5.451 3.634
Ag 1.817 3.634 0.000
Ag 3.634 0.000 1.817
Ag 3.634 0.000 5.451
Ag 5.451 3.634 0.000
Ge 0.000 3.634 1.817
Ge 0.000 3.634 5.451
Ge 1.817 0.000 3.634
Ge 3.634 1.817 0.000
Ge 3.634 5.451 0.000
Ge 5.451 0.000 3.634
```

As for the space-group type: Pm-3n. As for the excess energy over the best structure of this formula in the dataset: 0.499 eV/atom.

***

# 23
A relaxed AgGe crystal. Source: Alexandria via LeMat-Bulk, functional PBE.

Cell and atoms, written as extended XYZ:
```
8
Lattice="-3.967 3.967 3.967 3.967 -3.967 3.967 3.967 3.967 -3.967" Properties=species:S:1:pos:R:3 pbc="T T T"
Ag 1.550 1.550 -1.550
Ag 1.550 -1.550 1.550
Ag -1.550 1.550 1.550
Ag 2.417 2.417 2.417
Ge 2.991 2.991 -2.991
Ge 2.991 -2.991 2.991
Ge 0.976 0.976 0.976
Ge -2.991 2.991 2.991
```

As for the space-group type: I-43m. As for the excess energy over the best structure of this formula in the dataset: 0.281 eV/atom.

***

Number 1: total moment 8.31 μB/f.u., final energy -27.323 eV for the cell shown. Number 2: total moment 8.27 μB/f.u., final energy -28.762 eV for the cell shown. Number 3: total moment 8.38 μB/f.u., final energy -28.625 eV for the cell shown. Number 4: total moment 0.00 μB/f.u., final energy -14.166 eV for the cell shown. Number 5: total moment 0.00 μB/f.u., final energy -54.824 eV for the cell shown. Number 6: total moment 0.00 μB/f.u., final energy -12.730 eV for the cell shown. Number 7: total moment 0.00 μB/f.u., final energy -21.655 eV for the cell shown. Number 8: total moment 0.00 μB/f.u., final energy -14.175 eV for the cell shown. Number 9: total moment 0.00 μB/f.u., final energy -26.113 eV for the cell shown. Number 10: total moment 0.00 μB/f.u., final energy -12.789 eV for the cell shown. Number 11: total moment 0.00 μB/f.u., final energy -6.718 eV for the cell shown. Number 12: total moment 0.00 μB/f.u., final energy -12.771 eV for the cell shown. Number 13: total moment 0.00 μB/f.u., final energy -12.780 eV for the cell shown. Number 14: total moment 0.00 μB/f.u., final energy -6.243 eV for the cell shown. Number 15: total moment 0.00 μB/f.u., final energy -18.363 eV for the cell shown. Number 16: total moment 0.00 μB/f.u., final energy -28.096 eV for the cell shown. Number 17: total moment 0.00 μB/f.u., final energy -27.091 eV for the cell shown. Number 18: total moment 0.00 μB/f.u., final energy -12.685 eV for the cell shown. Number 19: total moment 0.00 μB/f.u., final energy -14.192 eV for the cell shown. Number 20: total moment 0.00 μB/f.u., final energy -20.911 eV for the cell shown. Number 21: total moment 0.00 μB/f.u., final energy -42.323 eV for the cell shown. Number 22: total moment 0.00 μB/f.u., final energy -36.680 eV for the cell shown. Number 23: total moment 0.00 μB/f.u., final energy -26.195 eV for the cell shown.